Model i:
ReHgPO2: relaxed, PBE.

extended XYZ file:
```
5
Lattice="3.819 0.000 0.000 0.000 3.819 0.000 0.000 0.000 5.180" Properties=species:S:1:pos:R:3 pbc="T T T"
Re 0.000 0.000 0.000
Hg 1.910 1.910 2.590
P 0.000 0.000 2.590
O 0.000 1.910 0.000
O 1.910 0.000 0.000
```

## Properties
DOS at the Fermi energy ... 1.8 states/eV/f.u.
Total moment ... 0.00 μB/cell


Model ii:
ReHgPO2: relaxed, PBE.

extended XYZ file:
```
5
Lattice="3.932 0.000 0.000 0.000 3.932 0.000 0.000 0.000 5.880" Properties=species:S:1:pos:R:3 pbc="T T T"
Re 0.000 0.000 0.000
Hg 1.966 1.966 2.940
P 1.966 1.966 0.000
O 0.000 1.966 2.940
O 1.966 0.000 2.940
```

## Properties
DOS at the Fermi energy ... 4.2 states/eV/f.u.
Total moment ... 2.96 μB/cell


Which one is most stable, and which one is least stable? model i is the most stable of them, while model ii is the least stable.


Model i:
ReHgP2O: relaxed, PBE.

extended XYZ file:
```
5
Lattice="4.946 0.000 0.000 0.000 4.946 0.000 0.000 0.000 3.988" Properties=species:S:1:pos:R:3 pbc="T T T"
Re 0.000 0.000 0.000
Hg 2.473 2.473 1.994
P 0.000 2.473 1.994
P 2.473 0.000 1.994
O 2.473 2.473 0.000
```

## Properties
DOS at the Fermi energy ... 3.7 states/eV/f.u.
Total moment ... 2.87 μB/cell


Model ii:
ReHgP2O: relaxed, PBE.

extended XYZ file:
```
5
Lattice="4.823 0.000 0.000 0.000 4.823 0.000 0.000 0.000 3.758" Properties=species:S:1:pos:R:3 pbc="T T T"
Re 0.000 0.000 0.000
Hg 2.411 2.411 1.879
P 0.000 2.411 0.000
P 2.411 0.000 0.000
O 0.000 0.000 1.879
```

## Properties
DOS at the Fermi energy ... 1.9 states/eV/f.u.
Total moment ... 0.00 μB/cell


Which one is most stable, and which one is least stable? model ii is the most stable of them, while model i is the least stable.


Model i:
HgSbP2O: relaxed, PBE.

extended XYZ file:
```
5
Lattice="5.167 0.000 0.000 0.000 5.167 0.000 0.000 0.000 3.926" Properties=species:S:1:pos:R:3 pbc="T T T"
Hg 0.000 0.000 0.000
Sb 2.583 2.583 1.963
P 0.000 2.583 1.963
P 2.583 0.000 1.963
O 2.583 2.583 0.000
```

## Properties
DOS at the Fermi energy ... 3.0 states/eV/f.u.
Total moment ... 0.00 μB/cell


Model ii:
HgSbP2O: relaxed, PBE.

extended XYZ file:
```
5
Lattice="5.046 0.000 0.000 0.000 5.046 0.000 0.000 0.000 4.095" Properties=species:S:1:pos:R:3 pbc="T T T"
Hg 0.000 0.000 0.000
Sb 2.523 2.523 2.047
P 0.000 2.523 0.000
P 2.523 0.000 0.000
O 0.000 0.000 2.047
```

## Properties
DOS at the Fermi energy ... 2.6 states/eV/f.u.
Total moment ... 0.00 μB/cell


Which one is most stable, and which one is least stable? model i is the most stable of them, while model ii is the least stable.


Model i:
ScHgPO2: relaxed, PBE.

extended XYZ file:
```
5
Lattice="3.982 0.000 0.000 0.000 3.982 0.000 0.000 0.000 5.771" Properties=species:S:1:pos:R:3 pbc="T T T"
Sc 0.000 0.000 0.000
Hg 1.991 1.991 2.886
P 0.000 0.000 2.886
O 0.000 1.991 0.000
O 1.991 0.000 0.000
```

## Properties
DOS at the Fermi energy ... 2.6 states/eV/f.u.
Total moment ... 1.25 μB/cell


Model ii:
ScHgPO2: relaxed, PBE.

extended XYZ file:
```
5
Lattice="4.156 0.000 0.000 0.000 4.156 0.000 0.000 0.000 4.977" Properties=species:S:1:pos:R:3 pbc="T T T"
Sc 0.000 0.000 0.000
Hg 2.078 2.078 2.489
P 2.078 2.078 0.000
O 0.000 2.078 2.489
O 2.078 0.000 2.489
```

## Properties
DOS at the Fermi energy ... 1.9 states/eV/f.u.
Total moment ... 0.00 μB/cell


Which one is most stable, and which one is least stable? model i is the most stable of them, while model ii is the least stable.


Model i:
ScHgP2O: relaxed, PBE.

extended XYZ file:
```
5
Lattice="4.956 0.000 0.000 0.000 4.956 0.000 0.000 0.000 4.110" Properties=species:S:1:pos:R:3 pbc="T T T"
Sc 0.000 0.000 0.000
Hg 2.478 2.478 2.055
P 0.000 2.478 2.055
P 2.478 0.000 2.055
O 2.478 2.478 0.000
```

## Properties
DOS at the Fermi energy ... 4.6 states/eV/f.u.
Total moment ... 0.00 μB/cell


Model ii:
ScHgP2O: relaxed, PBE.

extended XYZ file:
```
5
Lattice="5.239 0.000 0.000 0.000 5.239 0.000 0.000 0.000 3.837" Properties=species:S:1:pos:R:3 pbc="T T T"
Sc 0.000 0.000 0.000
Hg 2.619 2.619 1.919
P 0.000 2.619 0.000
P 2.619 0.000 0.000
O 0.000 0.000 1.919
```

## Properties
DOS at the Fermi energy ... 2.7 states/eV/f.u.
Total moment ... 0.00 μB/cell


Which one is most stable, and which one is least stable? model ii is the most stable of them, while model i is the least stable.


Model i:
SnHgP2O: relaxed, PBE.

extended XYZ file:
```
5
Lattice="5.080 0.000 0.000 0.000 5.080 0.000 0.000 0.000 4.123" Properties=species:S:1:pos:R:3 pbc="T T T"
Sn 0.000 0.000 0.000
Hg 2.540 2.540 2.062
P 0.000 2.540 2.062
P 2.540 0.000 2.062
O 2.540 2.540 0.000
```

## Properties
DOS at the Fermi energy ... 5.4 states/eV/f.u.
Total moment ... 0.00 μB/cell


Model ii:
SnHgP2O: relaxed, PBE.

extended XYZ file:
```
5
Lattice="5.238 0.000 0.000 0.000 5.238 0.000 0.000 0.000 3.900" Properties=species:S:1:pos:R:3 pbc="T T T"
Sn 0.000 0.000 0.000
Hg 2.619 2.619 1.950
P 0.000 2.619 0.000
P 2.619 0.000 0.000
O 0.000 0.000 1.950
```

## Properties
DOS at the Fermi energy ... 3.1 states/eV/f.u.
Total moment ... 0.00 μB/cell


Which one is most stable, and which one is least stable? model ii is the most stable of them, while model i is the least stable.


Model i:
SrHgP2O: relaxed, PBE.

extended XYZ file:
```
5
Lattice="5.090 0.000 0.000 0.000 5.090 0.000 0.000 0.000 4.404" Properties=species:S:1:pos:R:3 pbc="T T T"
Sr 0.000 0.000 0.000
Hg 2.545 2.545 2.202
P 0.000 2.545 2.202
P 2.545 0.000 2.202
O 2.545 2.545 0.000
```

## Properties
DOS at the Fermi energy ... 3.7 states/eV/f.u.
Total moment ... 1.63 μB/cell


Model ii:
SrHgP2O: relaxed, PBE.

extended XYZ file:
```
5
Lattice="6.309 0.000 0.000 0.000 6.309 0.000 0.000 0.000 4.480" Properties=species:S:1:pos:R:3 pbc="T T T"
Sr 0.000 0.000 0.000
Hg 3.154 3.154 2.240
P 0.000 3.154 0.000
P 3.154 0.000 0.000
O 0.000 0.000 2.240
```

## Properties
DOS at the Fermi energy ... 3.4 states/eV/f.u.
Total moment ... 5.63 μB/cell


Which one is most stable, and which one is least stable? model i is the most stable of them, while model ii is the least stable.


Model i:
TaHgP2O: relaxed, PBE.

extended XYZ file:
```
5
Lattice="4.887 0.000 0.000 0.000 4.887 0.000 0.000 0.000 3.959" Properties=species:S:1:pos:R:3 pbc="T T T"
Ta 0.000 0.000 0.000
Hg 2.443 2.443 1.979
P 0.000 2.443 1.979
P 2.443 0.000 1.979
O 2.443 2.443 0.000
```

## Properties
DOS at the Fermi energy ... 4.7 states/eV/f.u.
Total moment ... 0.00 μB/cell


Model ii:
TaHgP2O: relaxed, PBE.

extended XYZ file:
```
5
Lattice="4.992 0.000 0.000 0.000 4.992 0.000 0.000 0.000 3.883" Properties=species:S:1:pos:R:3 pbc="T T T"
Ta 0.000 0.000 0.000
Hg 2.496 2.496 1.941
P 0.000 2.496 0.000
P 2.496 0.000 0.000
O 0.000 0.000 1.941
```

## Properties
DOS at the Fermi energy ... 3.2 states/eV/f.u.
Total moment ... 0.00 μB/cell


Which one is most stable, and which one is least stable? model ii is the most stable of them, while model i is the least stable.


Model i:
TaHgPO2: relaxed, PBE.

extended XYZ file:
```
5
Lattice="4.051 0.000 0.000 0.000 4.051 0.000 0.000 0.000 5.094" Properties=species:S:1:pos:R:3 pbc="T T T"
Ta 0.000 0.000 0.000
Hg 2.026 2.026 2.547
P 2.026 2.026 0.000
O 0.000 2.026 2.547
O 2.026 0.000 2.547
```

## Properties
DOS at the Fermi energy ... 4.6 states/eV/f.u.
Total moment ... 0.99 μB/cell


Model ii:
TaHgPO2: relaxed, PBE.

extended XYZ file:
```
5
Lattice="3.907 0.000 0.000 0.000 3.907 0.000 0.000 0.000 5.382" Properties=species:S:1:pos:R:3 pbc="T T T"
Ta 0.000 0.000 0.000
Hg 1.954 1.954 2.691
P 0.000 0.000 2.691
O 0.000 1.954 0.000
O 1.954 0.000 0.000
```

## Properties
DOS at the Fermi energy ... 1.5 states/eV/f.u.
Total moment ... 0.00 μB/cell


Which one is most stable, and which one is least stable? model ii is the most stable of them, while model i is the least stable.


Model i:
TcHgP2O: relaxed, PBE.

extended XYZ file:
```
5
Lattice="4.831 0.000 0.000 0.000 4.831 0.000 0.000 0.000 3.735" Properties=species:S:1:pos:R:3 pbc="T T T"
Tc 0.000 0.000 0.000
Hg 2.415 2.415 1.867
P 0.000 2.415 0.000
P 2.415 0.000 0.000
O 0.000 0.000 1.867
```

## Properties
DOS at the Fermi energy ... 2.5 states/eV/f.u.
Total moment ... 0.00 μB/cell


Model ii:
TcHgP2O: relaxed, PBE.

extended XYZ file:
```
5
Lattice="4.982 0.000 0.000 0.000 4.982 0.000 0.000 0.000 4.031" Properties=species:S:1:pos:R:3 pbc="T T T"
Tc 0.000 0.000 0.000
Hg 2.491 2.491 2.015
P 0.000 2.491 2.015
P 2.491 0.000 2.015
O 2.491 2.491 0.000
```

## Properties
DOS at the Fermi energy ... 3.8 states/eV/f.u.
Total moment ... 2.86 μB/cell


Which one is most stable, and which one is least stable? model i is the most stable of them, while model ii is the least stable.


Model i:
HgTeP2O: relaxed, PBE.

extended XYZ file:
```
5
Lattice="5.212 0.000 0.000 0.000 5.212 0.000 0.000 0.000 3.963" Properties=species:S:1:pos:R:3 pbc="T T T"
Hg 0.000 0.000 0.000
Te 2.606 2.606 1.982
P 0.000 2.606 1.982
P 2.606 0.000 1.982
O 2.606 2.606 0.000
```

## Properties
DOS at the Fermi energy ... 3.6 states/eV/f.u.
Total moment ... 0.00 μB/cell


Model ii:
HgTeP2O: relaxed, PBE.

extended XYZ file:
```
5
Lattice="5.054 0.000 0.000 0.000 5.054 0.000 0.000 0.000 4.112" Properties=species:S:1:pos:R:3 pbc="T T T"
Hg 0.000 0.000 0.000
Te 2.527 2.527 2.056
P 0.000 2.527 0.000
P 2.527 0.000 0.000
O 0.000 0.000 2.056
```

## Properties
DOS at the Fermi energy ... 4.7 states/eV/f.u.
Total moment ... 0.04 μB/cell


Which one is most stable, and which one is least stable? model i is the most stable of them, while model ii is the least stable.


Model i:
TiHgPO2: relaxed, PBE.

extended XYZ file:
```
5
Lattice="3.788 0.000 0.000 0.000 3.788 0.000 0.000 0.000 5.495" Properties=species:S:1:pos:R:3 pbc="T T T"
Ti 0.000 0.000 0.000
Hg 1.894 1.894 2.747
P 0.000 0.000 2.747
O 0.000 1.894 0.000
O 1.894 0.000 0.000
```

## Properties
DOS at the Fermi energy ... 2.2 states/eV/f.u.
Total moment ... 0.14 μB/cell


Model ii:
TiHgPO2: relaxed, PBE.

extended XYZ file:
```
5
Lattice="4.098 0.000 0.000 0.000 4.098 0.000 0.000 0.000 5.057" Properties=species:S:1:pos:R:3 pbc="T T T"
Ti 0.000 0.000 0.000
Hg 2.049 2.049 2.528
P 2.049 2.049 0.000
O 0.000 2.049 2.528
O 2.049 0.000 2.528
```

## Properties
DOS at the Fermi energy ... 5.6 states/eV/f.u.
Total moment ... 0.77 μB/cell


Which one is most stable, and which one is least stable? model i is the most stable of them, while model ii is the least stable.